TeAsP2 | GGA-PBE | optimized geometry

As for the density of states at the Fermi level: 2.04 states/eV/f.u. The excess energy over the best structure of this formula in the dataset comes out at 467 meV/atom. The formation energy (no corrections) comes out at 0.668 eV/atom. The value obtained for the size of the total moment is 0.000 μB/cell.

It has space group Fm-3m (No. 225), with a = 6.718 Å, b = 6.718 Å, c = 6.718 Å, α = 90.00°, β = 90.00° and γ = 90.00°. The distinct sites, in fractional coordinates, are Te at (0.000, 0.000, 0.000), As at (0.000, 0.000, 0.500) and P at (0.250, 0.250, 0.250).